Ba2FeW after structural relaxation, computed with PBE.

Values from the calculation:
Volume, Å³/f.u.: 109
ΔE to the lowest computed polymorph, eV/atom: 0.939
Theoretical density, Mg/m³: 7.9
Formation energy from the elements, eV/atom: 1.5098
Density of states at the Fermi level, states/eV per cell: 4.98
Symmetry: No. 65

Cell and atoms, written as POSCAR:
```
Ba2FeW
1.0
3.3746 -5.0504 0.0000
3.3746 5.0504 0.0000
0.0000 0.0000 3.1875
Ba Fe W
2 1 1
direct
0.0000 0.5000 0.0000
0.5000 0.0000 0.0000
0.0000 0.0000 0.5000
0.5000 0.5000 0.5000
```